This record from Alexandria via LeMat-Bulk describes a geometry-optimized B5C7 structure. The functional is PBE.

The structure in POSCAR format:
```
B5C7
1.0
6.3274 0.1927 -1.2528
5.7474 2.6533 -1.2528
0.0020 0.0005 5.0077
B C
5 7
direct
0.0179 0.0179 0.9928
0.9240 0.9240 0.2262
0.3187 0.3187 0.1623
0.9002 0.9002 0.6799
0.5853 0.5853 0.5491
0.2398 0.2398 0.3758
0.0052 0.0052 0.5319
0.6691 0.6691 0.3333
0.3189 0.3189 0.6543
0.2451 0.2451 0.8626
0.6760 0.6760 0.8409
0.5997 0.5997 0.0409
```

Properties
ΔE_f (eV/atom): 0.37
Size of the total moment (μB/cell): 0.0
Final energy (eV per atom): -7.794
Space group: Cm (8)